1.
## Tl3VIn3Br8 (PBE-GGA)

Data for a relaxed Tl3VIn3Br8 crystal.

a b c (Å): 9.3577 9.3577 9.3577
angles (deg): 59.78 59.78 59.78
With the nearest neighbours (Å) after each atom.
Sites, in units of the cell vectors:
Tl 0.0000 0.5000 0.5000  6 Br 3.32-3.37
Tl 0.5000 0.0000 0.5000  6 Br 3.32-3.37
Tl 0.5000 0.5000 0.0000  6 Br 3.32-3.37
V 0.5000 0.5000 0.5000  6 Br 2.69
In 0.0000 0.0000 0.5000  6 Br 3.29-3.35
In 0.0000 0.5000 0.0000  6 Br 3.29-3.35
In 0.5000 0.0000 0.0000  6 Br 3.29-3.35
Br 0.2489 0.2489 0.2489  3 In 3.29, 3 Tl 3.32
Br 0.2945 0.7038 0.7038  1 V 2.69
Br 0.2962 0.2962 0.7055  1 V 2.69
Br 0.2962 0.7055 0.2962  1 V 2.69
Br 0.7038 0.2945 0.7038  1 V 2.69
Br 0.7038 0.7038 0.2945  1 V 2.69
Br 0.7055 0.2962 0.2962  1 V 2.69
Br 0.7511 0.7511 0.7511  3 In 3.29, 3 Tl 3.32

As for the space group: R-3m. The uncorrected formation energy comes out at -0.75 eV/atom.

***

2.
## TlVIn2Br6 (PBE-GGA)

Data for a relaxed TlVIn2Br6 crystal.

a b c (Å): 7.3147 8.4958 12.5967
angles (deg): 90.00 120.81 90.00
With the nearest neighbours (Å) after each atom.
Sites, in units of the cell vectors:
Tl 0.0000 0.0000 0.0000  6 Br 3.30-3.40
Tl 0.0000 0.5000 0.5000  6 Br 3.30-3.40
V 0.5000 0.0000 0.5000  6 Br 2.56-2.58
V 0.5000 0.5000 0.0000  6 Br 2.56-2.58
In 0.1952 0.0764 0.7275  6 Br 3.19-3.52
In 0.1952 0.4236 0.2275  6 Br 3.19-3.52
In 0.8048 0.5764 0.7725  6 Br 3.19-3.52
In 0.8048 0.9236 0.2725  6 Br 3.19-3.52
Br 0.1748 0.1563 0.4674  1 V 2.57
Br 0.1748 0.3437 0.9674  1 V 2.57
Br 0.2670 0.7493 0.9164  1 V 2.58
Br 0.2670 0.7507 0.4164  1 V 2.58
Br 0.4126 0.0731 0.2814  1 V 2.56
Br 0.4126 0.4269 0.7814  1 V 2.56
Br 0.5874 0.5731 0.2186  1 V 2.56
Br 0.5874 0.9269 0.7186  1 V 2.56
Br 0.7330 0.2493 0.5836  1 V 2.58
Br 0.7330 0.2507 0.0836  1 V 2.58
Br 0.8252 0.6563 0.0326  1 V 2.57
Br 0.8252 0.8437 0.5326  1 V 2.57

As for the space group: P2_1/c. The uncorrected formation energy comes out at -0.77 eV/atom.

***

3.
## TlVInBr6 (PBE-GGA)

Data for a relaxed TlVInBr6 crystal.

a b c (Å): 7.0025 7.0025 14.6193
angles (deg): 90.00 90.00 120.00
With the nearest neighbours (Å) after each atom.
Sites, in units of the cell vectors:
Tl 0.0000 0.0000 0.0000  6 Br 3.36
Tl 0.0000 0.0000 0.5000  6 Br 3.36
V 0.3333 0.6667 0.2500  6 Br 2.62
V 0.6667 0.3333 0.7500  6 Br 2.62
In 0.3333 0.6667 0.7500  6 Br 2.76
In 0.6667 0.3333 0.2500  6 Br 2.76
Br 0.0148 0.3777 0.1460  1 V 2.62, 1 In 2.76
Br 0.0148 0.6371 0.3540  1 V 2.62, 1 In 2.76
Br 0.3629 0.3777 0.3540  1 V 2.62, 1 In 2.76
Br 0.3629 0.9852 0.1460  1 V 2.62, 1 In 2.76
Br 0.3777 0.0148 0.6460  1 V 2.62, 1 In 2.76
Br 0.3777 0.3629 0.8540  1 V 2.62, 1 In 2.76
Br 0.6223 0.6371 0.1460  1 V 2.62, 1 In 2.76
Br 0.6223 0.9852 0.3540  1 V 2.62, 1 In 2.76
Br 0.6371 0.0148 0.8540  1 V 2.62, 1 In 2.76
Br 0.6371 0.6223 0.6460  1 V 2.62, 1 In 2.76
Br 0.9852 0.3629 0.6460  1 V 2.62, 1 In 2.76
Br 0.9852 0.6223 0.8540  1 V 2.62, 1 In 2.76

As for the space group: P-31c. The uncorrected formation energy comes out at -0.84 eV/atom.

***

4.
## YTl2InBr6 (PBE-GGA)

Data for a relaxed YTl2InBr6 crystal.

a b c (Å): 8.4139 8.4139 8.4139
angles (deg): 57.86 57.86 57.86
With the nearest neighbours (Å) after each atom.
Sites, in units of the cell vectors:
Y 0.0000 0.0000 0.0000  6 Br 2.81-2.84
Tl 0.3041 0.3041 0.3041  6 Br 3.34-3.40
Tl 0.7939 0.7939 0.7939  6 Br 3.39-3.41
In 0.5090 0.5090 0.5090  6 Br 3.23-3.42
Br 0.1220 0.3345 0.7611  1 Y 2.81
Br 0.2031 0.8887 0.6560  1 Y 2.84
Br 0.3345 0.7611 0.1220  1 Y 2.81
Br 0.6560 0.2031 0.8887  1 Y 2.84
Br 0.7611 0.1220 0.3345  1 Y 2.81
Br 0.8887 0.6560 0.2031  1 Y 2.84

As for the space group: R3. The uncorrected formation energy comes out at -1.24 eV/atom.